Entry 1:
The following is a PBE calculation of a geometry-optimized Pr4Cd3 structure, from the Alexandria database.

a b c (Å): 5.436 5.436 9.228
angles (deg): 72.87 72.87 60.00
Atoms (fractional coordinates):
Cd 0.000 0.000 0.000
Cd 0.745 0.745 0.765
Cd 0.255 0.255 0.235
Pr 0.870 0.870 0.389
Pr 0.382 0.382 0.853
Pr 0.130 0.130 0.611
Pr 0.618 0.618 0.147

- DFT formation energy (kJ/mol of formula units) = -111
- final energy (eV for the cell shown) = -23.01
- ΔE to the lowest computed polymorph (eV/atom) = 0.077

Entry 2:
The following is a PBE calculation of a geometry-optimized PrCd6 structure, from the Alexandria database.

a b c (Å): 6.647 6.647 6.647
angles (deg): 109.47 109.47 109.47
Atoms (fractional coordinates):
Cd 0.500 0.750 0.250
Cd 0.250 0.500 0.750
Cd 0.750 0.250 0.500
Cd 0.500 0.250 0.750
Cd 0.750 0.500 0.250
Cd 0.250 0.750 0.500
Pr 0.000 0.000 0.000

- DFT formation energy (kJ/mol of formula units) = 238
- final energy (eV for the cell shown) = -7.80
- ΔE to the lowest computed polymorph (eV/atom) = 0.516